1.
# PBE KBe2Al, relaxed
# - final energy (eV per cell) = -44.97
# - total magnetization (μB per formula unit) = 0.00
# - DOS at the Fermi energy (states/eV per cell) = 3.88
# - formation enthalpy at 0 K (eV per atom) = 0.262
data_KBe2Al
_cell_length_a 11.347
_cell_length_b 3.811
_cell_length_c 8.160
_cell_angle_alpha 90.00
_cell_angle_beta 107.69
_cell_angle_gamma 90.00
_space_group_name_H-M_alt 'C 1 m 1'
_space_group_IT_number 8
_space_group_name_Hall 'C -2y'
loop_
_atom_site_label
_atom_site_type_symbol
_atom_site_fract_x
_atom_site_fract_y
_atom_site_fract_z
K1 K 0.000 0.000 0.000
K2 K 0.192 0.500 0.758
Be1 Be 0.064 0.500 0.345
Be2 Be 0.170 0.000 0.372
Be3 Be 0.250 0.500 0.338
Be4 Be 0.339 0.000 0.280
Al1 Al 0.378 0.000 0.588
Al2 Al 0.466 0.500 0.401

***

2.
# PBE KRbIn2, relaxed
# - final energy (eV per cell) = -15.86
# - total magnetization (μB per formula unit) = 0.00
# - DOS at the Fermi energy (states/eV per cell) = 5.05
# - formation enthalpy at 0 K (eV per atom) = -0.096
# - ΔE to the lowest computed polymorph (eV per atom) = 0.000
data_KRbIn2
_cell_length_a 5.160
_cell_length_b 8.851
_cell_length_c 9.086
_cell_angle_alpha 90.00
_cell_angle_beta 106.23
_cell_angle_gamma 90.00
_space_group_name_H-M_alt 'P 1 21/m 1'
_space_group_IT_number 11
_space_group_name_Hall '-P 2yb'
loop_
_atom_site_label
_atom_site_type_symbol
_atom_site_fract_x
_atom_site_fract_y
_atom_site_fract_z
K1 K 0.124 0.250 0.244
Rb1 Rb 0.393 0.250 0.790
In1 In 0.250 0.583 0.500

***

3.
# PBE TiHN2F, relaxed
# - final energy (eV per cell) = -28.73
# - total magnetization (μB per formula unit) = 0.00
# - DOS at the Fermi energy (states/eV per cell) = 1.25
data_TiHN2F
_cell_length_a 3.113
_cell_length_b 3.113
_cell_length_c 3.754
_cell_angle_alpha 90.00
_cell_angle_beta 90.00
_cell_angle_gamma 90.00
_space_group_name_H-M_alt 'P 4/m m m'
_space_group_IT_number 123
_space_group_name_Hall '-P 4 2'
loop_
_atom_site_label
_atom_site_type_symbol
_atom_site_fract_x
_atom_site_fract_y
_atom_site_fract_z
Ti1 Ti 0.000 0.000 0.000
H1 H 0.500 0.500 0.500
N1 N 0.000 0.500 0.500
F1 F 0.500 0.500 0.000